Entry 1:
The following is a DFT calculation (PBE) of a geometry-optimized Al2CrBr structure.

The polymorph energy (0 for the lowest one) comes out at 18 meV per atom. As for the mass density: 4.4 g/cm³. Its crystal system is trigonal. Its size of the total moment is 0.515 μB/atom.

The structure belongs to space group R-3m (No. 166, hexagonal axes); the cell edges are 3.1720, 3.1720 and 24.2897 Å and the angles 90.00°, 90.00° and 120.00°. The asymmetric unit holds Al at (0.0000, 0.0000, 0.2416), Cr at (0.0000, 0.0000, 0.5000) and Br at (0.0000, 0.0000, 0.0000).

Entry 2:
The following is a DFT calculation (PBE) of a geometry-optimized Al2CrBr structure.

The polymorph energy (0 for the lowest one) comes out at 202 meV per atom. As for the mass density: 4.0 g/cm³. Its crystal system is monoclinic. Its size of the total moment is 0.895 μB/atom.

The structure belongs to space group C2/m (No. 12); the cell edges are 10.9942, 3.1385 and 4.5012 Å and the angles 90.00°, 98.31° and 90.00°. The asymmetric unit holds Al at (0.2192, 0.0000, 0.2342), Cr at (0.0000, 0.5000, 0.0000) and Br at (0.0000, 0.0000, 0.5000).

Entry 3:
The following is a DFT calculation (PBE) of a geometry-optimized Al4CrBr structure.

As for the mass density: 3.5 g/cm³. Its crystal system is cubic. Its size of the total moment is 0.531 μB/atom.

The structure belongs to space group F-43m (No. 216); the cell edges are 7.6676, 7.6676 and 7.6676 Å and the angles 90.00°, 90.00° and 90.00°. The asymmetric unit holds Al at (0.1237, 0.1237, 0.3763), Cr at (0.2500, 0.2500, 0.7500) and Br at (0.0000, 0.0000, 0.0000).

Entry 4:
The following is a DFT calculation (PBE) of a geometry-optimized AlCrBr2 structure.

The polymorph energy (0 for the lowest one) comes out at 300 meV per atom. As for the mass density: 3.7 g/cm³. Its crystal system is tetragonal. Its size of the total moment is 1.249 μB/atom.

The structure belongs to space group P4mm (No. 99); the cell edges are 4.1647, 4.1647 and 6.1366 Å and the angles 90.00°, 90.00° and 90.00°. The asymmetric unit holds Al at (0.0000, 0.0000, 0.0000), Cr at (0.5000, 0.5000, 0.5998), Br at (0.0000, 0.0000, 0.4769) and Br at (0.5000, 0.5000, 0.0335).

Number 1: raw total energy -54.7 eV for the cell shown. Number 2: raw total energy -35.0 eV for the cell shown. Number 3: raw total energy -96.7 eV for the cell shown. Number 4: raw total energy -16.4 eV for the cell shown.